Record 1
A plane-wave DFT calculation with GGA-PBE was carried out for crystalline Sr4NpU3As8 at its relaxed geometry.

extended XYZ file:
```
16
Lattice="4.243 2.450 7.129 -4.243 2.450 7.129 0.000 -4.900 7.129" Properties=species:S:1:pos:R:3 pbc="T T T"
Sr 0.000 0.000 0.000
Sr -2.122 -1.225 7.129
Sr -2.122 1.225 14.258
Sr 0.000 2.450 7.129
Np 0.000 0.000 10.693
U -4.243 0.000 10.693
U -2.122 1.225 3.564
U 2.122 1.225 3.564
As -2.143 -1.237 12.233
As 0.000 0.000 5.105
As 0.000 -2.475 9.154
As -2.143 1.237 9.154
As 2.143 -1.237 12.233
As 0.000 2.475 12.233
As 0.000 0.000 16.282
As 2.143 1.237 9.154
```

Output
Final energy   -105.852 eV/cell
Calculated density   7.099 g/cm3
D(E_F)   27.426 states/eV/cell

---

Record 2
A plane-wave DFT calculation with GGA-PBE was carried out for crystalline Sr3NpU2As6 at its relaxed geometry.

extended XYZ file:
```
12
Lattice="3.678 -6.370 0.000 3.678 6.370 0.000 -2.452 0.000 7.121" Properties=species:S:1:pos:R:3 pbc="T T T"
Sr 0.000 0.000 0.000
Sr 3.678 2.114 0.000
Sr 3.678 -2.114 0.000
Np 2.452 0.000 3.561
U 2.452 4.246 3.561
U 2.452 -4.246 3.561
As 1.211 2.149 2.024
As -0.030 0.000 5.098
As 1.211 -2.149 2.024
As 3.693 2.149 5.097
As 4.934 0.000 2.023
As 3.693 -2.149 5.097
```

Output
Final energy   -79.761 eV/cell
Calculated density   7.093 g/cm3
D(E_F)   20.212 states/eV/cell

---

Record 3
A plane-wave DFT calculation with GGA-PBE was carried out for crystalline Sr2YNpAs4 at its relaxed geometry.

extended XYZ file:
```
8
Lattice="7.322 0.000 0.000 0.000 4.274 0.000 -2.440 0.000 7.112" Properties=species:S:1:pos:R:3 pbc="T T T"
Sr 0.000 0.000 0.000
Sr 3.661 2.137 0.000
Y -1.220 2.137 3.556
Np 2.441 0.000 3.556
As 0.084 0.000 5.106
As 1.277 2.137 2.029
As 3.605 2.137 5.083
As 4.798 0.000 2.007
```

Output
Final energy   -50.081 eV/cell
Calculated density   5.976 g/cm3
D(E_F)   6.577 states/eV/cell

---

Record 4
A plane-wave DFT calculation with GGA-PBE was carried out for crystalline Tb4NpAs5 at its relaxed geometry.

extended XYZ file:
```
10
Lattice="-2.063 2.917 10.341 2.063 -2.917 10.341 2.063 2.917 -10.341" Properties=species:S:1:pos:R:3 pbc="T T T"
Tb 0.000 0.000 2.088
Tb 0.000 0.000 6.184
Tb 0.000 0.000 14.497
Tb 0.000 0.000 18.594
Np 0.000 0.000 10.341
As 2.063 0.000 0.000
As 2.063 0.000 4.145
As 2.063 0.000 8.311
As 0.000 2.917 2.030
As 0.000 2.917 6.195
```

Output
Final energy   -68.368 eV/cell
Calculated density   8.319 g/cm3
D(E_F)   11.148 states/eV/cell

---

Record 5
A plane-wave DFT calculation with GGA-PBE was carried out for crystalline TbNpAs at its relaxed geometry.

extended XYZ file:
```
6
Lattice="4.253 0.000 0.000 0.000 4.253 0.000 0.000 0.000 8.232" Properties=species:S:1:pos:R:3 pbc="T T T"
Tb 1.063 3.190 0.000
Tb 3.190 1.063 0.000
Np 1.063 1.063 3.064
Np 3.190 3.190 5.168
As 1.063 1.063 6.025
As 3.190 3.190 2.207
```

Output
Final energy   -46.561 eV/cell
Calculated density   10.502 g/cm3
D(E_F)   18.985 states/eV/cell

---

Record 6
A plane-wave DFT calculation with GGA-PBE was carried out for crystalline Tb5NpAs6 at its relaxed geometry.

extended XYZ file:
```
12
Lattice="3.578 -6.197 0.000 3.578 6.197 0.000 -2.384 0.000 6.748" Properties=species:S:1:pos:R:3 pbc="T T T"
Tb 0.000 0.000 0.000
Tb 2.386 4.134 3.374
Tb 3.578 2.078 0.000
Tb 3.578 -2.078 0.000
Tb 2.386 -4.134 3.374
Np 2.386 0.000 3.374
As 1.205 2.044 1.697
As 0.026 0.000 5.045
As 1.205 -2.044 1.697
As 3.566 2.044 5.051
As 4.745 0.000 1.703
As 3.566 -2.044 5.051
```

Output
Final energy   -80.708 eV/cell
Calculated density   8.221 g/cm3
D(E_F)   11.354 states/eV/cell

---

Record 7
A plane-wave DFT calculation with GGA-PBE was carried out for crystalline TbNp2As3 at its relaxed geometry.

extended XYZ file:
```
24
Lattice="0.000 5.820 12.340 4.117 0.000 12.340 4.117 5.820 0.000" Properties=species:S:1:pos:R:3 pbc="T T T"
Tb 1.029 1.455 1.029
Tb 1.029 1.455 5.141
Tb 7.204 10.186 19.539
Tb 7.204 10.186 23.651
Np 3.087 4.365 3.075
Np 3.087 4.365 7.186
Np 5.146 7.275 9.245
Np 3.087 4.365 11.324
Np 5.146 7.275 13.356
Np 3.087 4.365 15.435
Np 5.146 7.275 17.494
Np 5.146 7.275 21.605
As 3.097 1.471 7.214
As 5.123 4.365 9.255
As 3.078 1.471 11.296
As 5.136 4.381 13.384
As 7.182 7.275 15.425
As 5.155 4.381 17.466
As 3.078 7.260 7.214
As 1.052 4.365 9.255
As 3.097 7.260 11.296
As 5.155 10.170 13.384
As 3.110 7.275 15.425
As 5.136 10.170 17.466
```

Output
Final energy   -201.008 eV/cell
Calculated density   9.634 g/cm3
D(E_F)   73.998 states/eV/cell

---

Record 8
A plane-wave DFT calculation with GGA-PBE was carried out for crystalline TbNp4As5 at its relaxed geometry.

extended XYZ file:
```
10
Lattice="-2.039 2.902 10.336 2.039 -2.902 10.336 2.039 2.902 -10.336" Properties=species:S:1:pos:R:3 pbc="T T T"
Tb 0.000 0.000 0.000
Np 0.000 0.000 4.154
Np 0.000 0.000 8.297
Np 0.000 0.000 12.376
Np 0.000 0.000 16.518
As 2.039 0.000 2.101
As 2.039 0.000 6.222
As 0.000 2.902 0.000
As 0.000 2.902 4.114
As 0.000 2.902 8.235
```

Output
Final energy   -87.879 eV/cell
Calculated density   10.055 g/cm3
D(E_F)   37.291 states/eV/cell

---

Record 9
A plane-wave DFT calculation with GGA-PBE was carried out for crystalline Tb3Th2NpAs6 at its relaxed geometry.

extended XYZ file:
```
12
Lattice="9.104 -2.090 0.000 9.104 2.090 0.000 -1.913 0.000 8.125" Properties=species:S:1:pos:R:3 pbc="T T T"
Tb 0.000 0.000 0.000
Tb 4.781 0.000 5.417
Tb 11.514 0.000 2.707
Th 5.781 0.000 1.381
Th 10.515 0.000 6.744
Np -0.956 0.000 4.062
As 2.856 0.000 0.700
As 1.923 0.000 4.692
As 7.633 0.000 6.070
As 8.663 0.000 2.054
As 14.373 0.000 3.432
As 13.440 0.000 7.424
```

Output
Final energy   -85.827 eV/cell
Calculated density   8.739 g/cm3
D(E_F)   13.371 states/eV/cell

---

Record 10
A plane-wave DFT calculation with GGA-PBE was carried out for crystalline Tb2TmNpAs4 at its relaxed geometry.

extended XYZ file:
```
8
Lattice="7.112 0.000 0.000 0.000 4.104 0.000 -2.354 0.000 6.719" Properties=species:S:1:pos:R:3 pbc="T T T"
Tb 0.000 0.000 0.000
Tb 3.556 2.052 0.000
Tm -1.177 2.052 3.360
Np 2.379 0.000 3.360
As 0.018 0.000 5.003
As 1.186 2.052 1.708
As 3.572 2.052 5.011
As 4.740 0.000 1.717
```

Output
Final energy   -55.734 eV/cell
Calculated density   8.666 g/cm3
D(E_F)   11.467 states/eV/cell

---

Record 11
A plane-wave DFT calculation with GGA-PBE was carried out for crystalline TbTmNp2As4 at its relaxed geometry.

extended XYZ file:
```
8
Lattice="7.110 0.000 0.000 0.000 4.082 0.000 -2.351 0.000 6.714" Properties=species:S:1:pos:R:3 pbc="T T T"
Tb 0.000 0.000 0.000
Tm -1.175 2.041 3.357
Np 2.380 0.000 3.357
Np 3.555 2.041 0.000
As 0.018 0.000 5.019
As 1.195 2.041 1.698
As 3.565 2.041 5.016
As 4.741 0.000 1.695
```

Output
Final energy   -62.148 eV/cell
Calculated density   9.387 g/cm3
D(E_F)   22.097 states/eV/cell

---

Record 12
A plane-wave DFT calculation with GGA-PBE was carried out for crystalline TbNpU2As4 at its relaxed geometry.

extended XYZ file:
```
8
Lattice="7.087 0.000 0.000 0.000 4.078 0.000 -2.346 0.000 6.726" Properties=species:S:1:pos:R:3 pbc="T T T"
Tb 0.000 0.000 0.000
Np 3.544 2.039 0.000
U -1.173 2.039 3.363
U 2.371 0.000 3.363
As 0.022 0.000 5.028
As 1.188 2.039 1.708
As 3.554 2.039 5.018
As 4.720 0.000 1.697
```

Output
Final energy   -65.929 eV/cell
Calculated density   10.008 g/cm3
D(E_F)   21.852 states/eV/cell